! FeCoO2 | Alexandria | GGA+U | optimized geometry; values from VASP
! Energy (eV/atom): -5.7003
! Magnetization (μB per formula unit): 7.0
! Space-group type: No. 225
&SYSTEM
  ibrav = 0, nat = 4, ntyp = 3
/
ATOMIC_SPECIES
Co 58.93 Co.upf
Fe 55.84 Fe.upf
O 16.00 O.upf
CELL_PARAMETERS angstrom
1.064 -2.671 -2.419
-1.961 -3.195 -0.253
-2.069 -0.698 -3.058
ATOMIC_POSITIONS crystal
Co 0.500 0.500 0.500
Fe 0.000 0.000 0.000
O 0.250 0.250 0.250
O 0.750 0.750 0.750

***

! Fe2Co2O | Alexandria | GGA+U | optimized geometry; values from VASP
! Energy (eV/atom): -4.8280
! Magnetization (μB per formula unit): 11.3
! Space-group type: No. 139
&SYSTEM
  ibrav = 0, nat = 5, ntyp = 3
/
ATOMIC_SPECIES
Co 58.93 Co.upf
Fe 55.84 Fe.upf
O 16.00 O.upf
CELL_PARAMETERS angstrom
-2.907 -0.406 0.914
0.825 -2.560 1.488
0.269 2.354 7.075
ATOMIC_POSITIONS crystal
Co 0.750 0.250 0.500
Co 0.250 0.750 0.500
Fe 0.405 0.405 0.189
Fe 0.595 0.595 0.811
O 0.000 0.000 0.000

***

! Fe3Co5O16 | Alexandria | GGA+U | optimized geometry; values from VASP
! Energy (eV/atom): -5.8135
! Magnetization (μB per formula unit): 7.0
! Space-group type: No. 8
&SYSTEM
  ibrav = 0, nat = 24, ntyp = 3
/
ATOMIC_SPECIES
Fe 55.84 Fe.upf
Co 58.93 Co.upf
O 16.00 O.upf
CELL_PARAMETERS angstrom
2.865 5.002 0.006
-2.865 5.002 0.006
0.000 0.298 8.602
ATOMIC_POSITIONS crystal
Fe 0.833 0.833 0.791
Fe 0.168 0.670 0.292
Fe 0.670 0.168 0.292
Co 0.335 0.830 0.793
Co 0.668 0.668 0.514
Co 0.830 0.335 0.793
Co 0.171 0.171 0.296
Co 0.330 0.330 0.013
O 0.347 0.838 0.402
O 0.522 0.522 0.666
O 0.659 0.659 0.902
O 0.006 0.006 0.683
O 0.011 0.011 0.184
O 0.838 0.347 0.402
O 0.515 0.951 0.656
O 0.951 0.515 0.656
O 0.167 0.167 0.891
O 0.830 0.830 0.402
O 0.046 0.463 0.154
O 0.463 0.046 0.154
O 0.328 0.328 0.404
O 0.173 0.663 0.899
O 0.475 0.475 0.144
O 0.663 0.173 0.899

***

! FeCo2O4 | Alexandria | GGA+U | optimized geometry; values from VASP
! Energy (eV/atom): -6.2394
! Magnetization (μB per formula unit): 12.0
! Space-group type: No. 74
&SYSTEM
  ibrav = 0, nat = 14, ntyp = 3
/
ATOMIC_SPECIES
Fe 55.84 Fe.upf
Co 58.93 Co.upf
O 16.00 O.upf
CELL_PARAMETERS angstrom
6.000 0.054 0.022
-0.088 6.000 -0.022
-2.933 -3.050 4.255
ATOMIC_POSITIONS crystal
Fe 0.500 0.000 0.500
Fe 0.000 0.000 0.000
Co 0.500 0.500 0.500
Co 0.125 0.375 0.750
Co 0.875 0.625 0.250
Co 0.500 0.000 0.000
O 0.738 0.758 0.980
O 0.278 0.758 0.520
O 0.739 0.219 0.981
O 0.739 0.758 0.519
O 0.261 0.242 0.481
O 0.261 0.781 0.019
O 0.722 0.242 0.480
O 0.262 0.242 0.020

***

! FeCo3O | Alexandria | GGA+U | optimized geometry; values from VASP
! Energy (eV/atom): -4.7122
! Magnetization (μB per formula unit): 9.0
! Space-group type: No. 221
&SYSTEM
  ibrav = 0, nat = 5, ntyp = 3
/
ATOMIC_SPECIES
Co 58.93 Co.upf
Fe 55.84 Fe.upf
O 16.00 O.upf
CELL_PARAMETERS angstrom
3.862 0.000 0.000
0.000 3.862 0.000
0.000 0.000 3.862
ATOMIC_POSITIONS crystal
Co 0.000 0.500 0.000
Co 0.000 0.000 0.500
Co 0.500 0.000 0.000
Fe 0.500 0.500 0.500
O 0.000 0.000 0.000

***

! FeCo2O4 | Alexandria | GGA+U | optimized geometry; values from VASP
! Energy (eV/atom): -5.7417
! Magnetization (μB per formula unit): 12.0
! Space-group type: No. 139
&SYSTEM
  ibrav = 0, nat = 7, ntyp = 3
/
ATOMIC_SPECIES
Co 58.93 Co.upf
Fe 55.84 Fe.upf
O 16.00 O.upf
CELL_PARAMETERS angstrom
-2.288 -2.166 2.438
3.132 -2.289 0.906
1.563 0.836 5.464
ATOMIC_POSITIONS crystal
Co 0.373 0.373 0.253
Co 0.627 0.627 0.747
Fe 0.000 0.000 0.000
O 0.200 0.200 0.599
O 0.800 0.800 0.401
O 0.000 0.500 0.000
O 0.500 0.000 0.000

***

! FeCo3O | Alexandria | GGA+U | optimized geometry; values from VASP
! Energy (eV/atom): -3.3913
! Magnetization (μB per formula unit): 9.3
! Space-group type: No. 221
&SYSTEM
  ibrav = 0, nat = 5, ntyp = 3
/
ATOMIC_SPECIES
Co 58.93 Co.upf
Fe 55.84 Fe.upf
O 16.00 O.upf
CELL_PARAMETERS angstrom
4.335 0.000 0.000
0.000 4.335 0.000
0.000 0.000 4.335
ATOMIC_POSITIONS crystal
Co 0.000 0.500 0.000
Co 0.000 0.000 0.500
Co 0.500 0.000 0.000
Fe 0.000 0.000 0.000
O 0.500 0.500 0.500

***

! Fe6CoO8 | Alexandria | GGA+U | optimized geometry; values from VASP
! Energy (eV/atom): -6.4592
! Magnetization (μB per formula unit): 29.0
! Space-group type: No. 2
&SYSTEM
  ibrav = 0, nat = 15, ntyp = 3
/
ATOMIC_SPECIES
Fe 55.84 Fe.upf
Co 58.93 Co.upf
O 16.00 O.upf
CELL_PARAMETERS angstrom
6.908 -0.068 -0.073
-0.015 4.803 -2.725
-0.062 0.090 5.603
ATOMIC_POSITIONS crystal
Fe 0.801 0.627 0.007
Fe 0.795 0.017 0.640
Fe 0.799 0.383 0.379
Fe 0.199 0.373 0.993
Fe 0.205 0.983 0.360
Fe 0.201 0.617 0.621
Co 0.500 0.000 0.000
O 0.711 0.988 0.276
O 0.713 0.715 0.721
O 0.682 0.309 0.004
O 0.289 0.012 0.724
O 0.287 0.285 0.279
O 0.318 0.691 0.996
O 0.992 0.352 0.709
O 0.008 0.648 0.291

***

! Fe19Co5O32 | Alexandria | GGA+U | optimized geometry; values from VASP
! Energy (eV/atom): -6.5646
! Magnetization (μB per formula unit): 107.0
! Space-group type: No. 12
&SYSTEM
  ibrav = 0, nat = 56, ntyp = 3
/
ATOMIC_SPECIES
Fe 55.84 Fe.upf
Co 58.93 Co.upf
O 16.00 O.upf
CELL_PARAMETERS angstrom
8.571 -0.018 0.027
-0.005 8.571 0.027
4.242 4.236 8.590
ATOMIC_POSITIONS crystal
Fe 0.312 0.812 0.622
Fe 0.812 0.312 0.622
Fe 0.000 0.000 0.500
Fe 0.688 0.188 0.378
Fe 0.188 0.688 0.378
Fe 0.871 0.625 0.254
Fe 0.126 0.375 0.247
Fe 0.375 0.126 0.247
Fe 0.625 0.871 0.254
Fe 0.560 0.560 0.127
Fe 0.062 0.062 0.121
Fe 0.249 0.751 0.000
Fe 0.751 0.249 0.000
Fe 0.440 0.440 0.873
Fe 0.938 0.938 0.879
Fe 0.874 0.625 0.753
Fe 0.375 0.129 0.746
Fe 0.625 0.874 0.753
Fe 0.129 0.375 0.746
Co 0.749 0.749 0.502
Co 0.500 0.500 0.500
Co 0.251 0.251 0.498
Co 0.500 0.000 0.000
Co 0.000 0.500 0.000
O 0.757 0.995 0.508
O 0.995 0.757 0.508
O 0.492 0.247 0.507
O 0.247 0.492 0.507
O 0.243 0.005 0.492
O 0.005 0.243 0.492
O 0.508 0.753 0.493
O 0.753 0.508 0.493
O 0.127 0.127 0.260
O 0.862 0.862 0.258
O 0.637 0.637 0.256
O 0.355 0.355 0.256
O 0.883 0.384 0.251
O 0.384 0.883 0.251
O 0.121 0.622 0.245
O 0.622 0.121 0.245
O 0.508 0.233 0.016
O 0.004 0.739 0.015
O 0.233 0.508 0.016
O 0.739 0.004 0.015
O 0.261 0.996 0.985
O 0.767 0.492 0.984
O 0.492 0.767 0.984
O 0.996 0.261 0.985
O 0.378 0.879 0.755
O 0.879 0.378 0.755
O 0.616 0.117 0.749
O 0.117 0.616 0.749
O 0.645 0.645 0.744
O 0.873 0.873 0.740
O 0.363 0.363 0.744
O 0.138 0.138 0.742

***

! FeCoO2 | Alexandria | GGA+U | optimized geometry; values from VASP
! Energy (eV/atom): -6.3245
! Magnetization (μB per formula unit): 7.0
! Space-group type: No. 15
&SYSTEM
  ibrav = 0, nat = 16, ntyp = 3
/
ATOMIC_SPECIES
Fe 55.84 Fe.upf
Co 58.93 Co.upf
O 16.00 O.upf
CELL_PARAMETERS angstrom
-1.889 -1.795 4.694
-1.215 -3.482 -3.880
6.780 -0.286 0.579
ATOMIC_POSITIONS crystal
Fe 0.188 0.938 0.876
Fe 0.937 0.687 0.373
Fe 0.063 0.313 0.627
Fe 0.812 0.062 0.124
Co 0.562 0.812 0.624
Co 0.687 0.437 0.875
Co 0.313 0.563 0.125
Co 0.438 0.188 0.376
O 0.193 0.433 0.375
O 0.555 0.318 0.125
O 0.070 0.807 0.125
O 0.319 0.058 0.625
O 0.681 0.942 0.375
O 0.930 0.193 0.875
O 0.445 0.682 0.875
O 0.807 0.567 0.625

***

! Fe2CoO4 | Alexandria | GGA+U | optimized geometry; values from VASP
! Energy (eV/atom): -6.2746
! Magnetization (μB per formula unit): 9.0
! Space-group type: No. 227
&SYSTEM
  ibrav = 0, nat = 14, ntyp = 3
/
ATOMIC_SPECIES
Fe 55.84 Fe.upf
Co 58.93 Co.upf
O 16.00 O.upf
CELL_PARAMETERS angstrom
5.992 0.000 0.000
2.996 5.189 0.000
2.996 1.730 4.892
ATOMIC_POSITIONS crystal
Fe 0.875 0.375 0.375
Fe 0.375 0.875 0.375
Fe 0.375 0.375 0.875
Fe 0.375 0.375 0.375
Co 0.750 0.750 0.750
Co 0.000 0.000 0.000
O 0.603 0.132 0.132
O 0.132 0.603 0.132
O 0.132 0.132 0.603
O 0.132 0.132 0.132
O 0.147 0.618 0.618
O 0.618 0.147 0.618
O 0.618 0.618 0.147
O 0.618 0.618 0.618

***

! Fe5Co3O16 | Alexandria | GGA+U | optimized geometry; values from VASP
! Energy (eV/atom): -5.9235
! Magnetization (μB per formula unit): 13.0
! Space-group type: No. 8
&SYSTEM
  ibrav = 0, nat = 24, ntyp = 3
/
ATOMIC_SPECIES
Fe 55.84 Fe.upf
Co 58.93 Co.upf
O 16.00 O.upf
CELL_PARAMETERS angstrom
0.114 -5.206 -2.333
1.329 -0.663 -5.509
8.761 -0.929 2.023
ATOMIC_POSITIONS crystal
Fe 0.664 0.664 0.506
Fe 0.834 0.834 0.786
Fe 0.331 0.331 0.008
Fe 0.168 0.665 0.288
Fe 0.665 0.168 0.288
Co 0.336 0.834 0.790
Co 0.834 0.336 0.790
Co 0.167 0.167 0.290
O 0.323 0.842 0.394
O 0.521 0.521 0.674
O 0.664 0.664 0.897
O 0.006 0.006 0.683
O 0.005 0.005 0.183
O 0.842 0.323 0.394
O 0.511 0.964 0.668
O 0.964 0.511 0.668
O 0.159 0.159 0.894
O 0.838 0.838 0.400
O 0.039 0.476 0.168
O 0.476 0.039 0.168
O 0.329 0.329 0.397
O 0.167 0.674 0.895
O 0.481 0.481 0.164
O 0.674 0.167 0.895

***

! FeCoO4 | Alexandria | GGA+U | optimized geometry; values from VASP
! Energy (eV/atom): -5.8966
! Magnetization (μB per formula unit): 6.2
! Space-group type: No. 13
&SYSTEM
  ibrav = 0, nat = 12, ntyp = 3
/
ATOMIC_SPECIES
Fe 55.84 Fe.upf
Co 58.93 Co.upf
O 16.00 O.upf
CELL_PARAMETERS angstrom
5.457 0.000 0.000
0.000 4.361 0.010
0.000 0.240 4.902
ATOMIC_POSITIONS crystal
Fe 0.845 0.000 0.250
Fe 0.155 0.000 0.750
Co 0.361 0.500 0.250
Co 0.639 0.500 0.750
O 0.126 0.758 0.093
O 0.610 0.722 0.070
O 0.610 0.278 0.430
O 0.126 0.242 0.407
O 0.874 0.758 0.593
O 0.390 0.722 0.570
O 0.390 0.278 0.930
O 0.874 0.242 0.907

***

! Fe3Co5O16 | Alexandria | GGA+U | optimized geometry; values from VASP
! Energy (eV/atom): -5.7893
! Magnetization (μB per formula unit): 0.9
! Space-group type: No. 10
&SYSTEM
  ibrav = 0, nat = 24, ntyp = 3
/
ATOMIC_SPECIES
Fe 55.84 Fe.upf
Co 58.93 Co.upf
O 16.00 O.upf
CELL_PARAMETERS angstrom
2.852 0.000 0.000
0.000 5.264 -0.083
0.000 1.396 18.770
ATOMIC_POSITIONS crystal
Fe 0.000 0.129 0.127
Fe 0.500 0.000 0.000
Fe 0.000 0.871 0.873
Co 0.000 0.623 0.624
Co 0.500 0.500 0.500
Co 0.000 0.377 0.376
Co 0.500 0.255 0.253
Co 0.500 0.745 0.747
O 0.000 0.878 0.690
O 0.500 0.491 0.681
O 0.000 0.368 0.557
O 0.500 0.755 0.567
O 0.000 0.632 0.443
O 0.500 0.245 0.433
O 0.000 0.122 0.310
O 0.500 0.509 0.319
O 0.000 0.385 0.196
O 0.500 0.997 0.186
O 0.000 0.868 0.059
O 0.500 0.265 0.068
O 0.000 0.132 0.941
O 0.500 0.735 0.932
O 0.000 0.615 0.804
O 0.500 0.003 0.814

***

! Fe2CoO | Alexandria | GGA+U | optimized geometry; values from VASP
! Energy (eV/atom): -5.1049
! Magnetization (μB per formula unit): 9.1
! Space-group type: No. 122
&SYSTEM
  ibrav = 0, nat = 8, ntyp = 3
/
ATOMIC_SPECIES
Co 58.93 Co.upf
Fe 55.84 Fe.upf
O 16.00 O.upf
CELL_PARAMETERS angstrom
-0.800 4.291 -3.746
-0.652 -3.827 -4.244
-4.223 0.130 -3.366
ATOMIC_POSITIONS crystal
Co 0.000 0.000 0.000
Co 0.750 0.250 0.500
Fe 0.553 0.125 0.250
Fe 0.197 0.625 0.250
Fe 0.375 0.447 0.750
Fe 0.875 0.803 0.750
O 0.500 0.500 0.000
O 0.250 0.750 0.500

***

! FeCoO2 | Alexandria | GGA+U | optimized geometry; values from VASP
! Energy (eV/atom): -6.2389
! Magnetization (μB per formula unit): 7.0
! Space-group type: No. 122
&SYSTEM
  ibrav = 0, nat = 8, ntyp = 3
/
ATOMIC_SPECIES
Co 58.93 Co.upf
Fe 55.84 Fe.upf
O 16.00 O.upf
CELL_PARAMETERS angstrom
4.490 0.000 0.000
0.000 4.490 0.000
2.245 2.245 5.058
ATOMIC_POSITIONS crystal
Co 0.000 0.000 0.000
Co 0.750 0.250 0.500
Fe 0.500 0.500 0.000
Fe 0.250 0.750 0.500
O 0.632 0.125 0.250
O 0.118 0.625 0.250
O 0.375 0.368 0.750
O 0.875 0.882 0.750

***

! FeCoO2 | Alexandria | GGA+U | optimized geometry; values from VASP
! Energy (eV/atom): -6.1479
! Magnetization (μB per formula unit): 7.0
! Space-group type: No. 194
&SYSTEM
  ibrav = 0, nat = 8, ntyp = 3
/
ATOMIC_SPECIES
Fe 55.84 Fe.upf
Co 58.93 Co.upf
O 16.00 O.upf
CELL_PARAMETERS angstrom
-1.036 -1.137 2.748
-0.868 -1.371 -2.699
9.047 -6.856 0.573
ATOMIC_POSITIONS crystal
Fe 0.000 0.000 0.500
Fe 0.000 0.000 0.000
Co 0.333 0.667 0.250
Co 0.667 0.333 0.750
O 0.333 0.667 0.410
O 0.667 0.333 0.590
O 0.667 0.333 0.910
O 0.333 0.667 0.090

***

! FeCoO4 | Alexandria | GGA+U | optimized geometry; values from VASP
! Energy (eV/atom): -5.8191
! Magnetization (μB per formula unit): 3.0
! Space-group type: No. 10
&SYSTEM
  ibrav = 0, nat = 6, ntyp = 3
/
ATOMIC_SPECIES
Fe 55.84 Fe.upf
Co 58.93 Co.upf
O 16.00 O.upf
CELL_PARAMETERS angstrom
-0.816 -2.421 1.374
4.434 -1.939 -0.783
3.034 1.286 4.067
ATOMIC_POSITIONS crystal
Fe 0.000 0.500 0.500
Co 0.500 0.000 0.500
O 0.500 0.267 0.691
O 0.500 0.733 0.309
O 0.000 0.775 0.690
O 0.000 0.225 0.310

***

! Fe2Co2O | Alexandria | GGA+U | optimized geometry; values from VASP
! Energy (eV/atom): -4.9263
! Magnetization (μB per formula unit): 10.3
! Space-group type: No. 127
&SYSTEM
  ibrav = 0, nat = 10, ntyp = 3
/
ATOMIC_SPECIES
Co 58.93 Co.upf
Fe 55.84 Fe.upf
O 16.00 O.upf
CELL_PARAMETERS angstrom
-4.298 0.765 -3.384
-0.115 -5.416 -1.078
-2.643 -0.586 3.224
ATOMIC_POSITIONS crystal
Co 0.143 0.643 0.500
Co 0.643 0.857 0.500
Co 0.857 0.357 0.500
Co 0.357 0.143 0.500
Fe 0.329 0.829 0.000
Fe 0.829 0.671 0.000
Fe 0.671 0.171 0.000
Fe 0.171 0.329 0.000
O 0.000 0.000 0.000
O 0.500 0.500 0.000